Entry 1:
This record from Alexandria via LeMat-Bulk describes a relaxed structure of Ac6NiPdRh2. The functional is PBE-GGA.

Unit cell a=7.4860 b=7.4861 c=8.2056 alpha=90.10 beta=117.14 gamma=119.88
Closest atoms and distances in Å follow each position.
Space group P1 (No. 1)
One atom of each set of equivalent atoms:
Ac (0.0000, 0.0000, 0.0000) x1  2 Rh 3.02-3.03, 1 Ni 3.02, 1 Pd 3.09
Ac (0.0002, 0.1825, 0.5053) x1  1 Ni 2.98, 2 Rh 3.03, 1 Pd 3.10
Ac (0.3370, 0.6685, 0.0003) x1  1 Ni 3.01, 2 Rh 3.02-3.03, 1 Pd 3.09
Ac (0.3581, 0.8456, 0.5060) x1  1 Ni 2.98, 2 Rh 3.02-3.03, 1 Pd 3.10
Ac (0.6630, 0.4877, 0.5063) x1  1 Ni 2.99, 2 Rh 3.02-3.03, 1 Pd 3.10
Ac (0.6683, 0.3368, 0.9994) x1  2 Rh 3.02, 1 Ni 3.02, 1 Pd 3.09
Ni (0.8422, 0.2553, 0.7584) x1  6 Ac 2.98-3.02
Pd (0.8448, 0.7565, 0.2635) x1  6 Ac 3.09-3.10
Rh (0.4981, 0.0841, 0.2434) x1  6 Ac 3.02-3.03
Rh (0.5052, 0.5875, 0.7545) x1  6 Ac 3.02-3.03

Summary:
As for the energy: -5.54 eV per atom. The value obtained for the calculated formation energy is -507 meV/atom.

***

Entry 2:
This record from Alexandria via LeMat-Bulk describes a relaxed structure of Ac6NiPd2Rh. The functional is PBE-GGA.

Unit cell a=7.5704 b=7.5705 c=8.2562 alpha=62.73 beta=62.73 gamma=60.07
Closest atoms and distances in Å follow each position.
Space group P1 (No. 1)
One atom of each set of equivalent atoms:
Ac (0.0000, 0.0000, 0.0000) x1  1 Ni 3.02, 1 Rh 3.04, 2 Pd 3.09
Ac (0.1328, 0.8608, 0.5029) x1  1 Rh 3.00, 1 Ni 3.03, 2 Pd 3.09-3.10
Ac (0.2936, 0.3642, 0.9998) x1  1 Ni 3.02, 1 Rh 3.04, 2 Pd 3.08-3.09
Ac (0.4946, 0.1622, 0.5033) x1  1 Rh 3.00, 1 Ni 3.03, 2 Pd 3.09-3.10
Ac (0.6362, 0.6579, 0.9997) x1  1 Ni 3.02, 1 Rh 3.04, 2 Pd 3.09
Ac (0.7966, 0.4990, 0.5028) x1  1 Rh 2.99, 1 Ni 3.03, 2 Pd 3.09-3.10
Ni (0.8950, 0.2602, 0.2421) x1  6 Ac 3.02-3.03
Pd (0.2181, 0.5826, 0.2755) x1  6 Ac 3.09
Pd (0.7162, 0.0814, 0.7801) x1  6 Ac 3.08-3.10
Rh (0.3975, 0.7627, 0.7352) x1  6 Ac 2.99-3.04

Summary:
As for the energy: -5.31 eV per atom. The value obtained for the calculated formation energy is -498 meV/atom.

***

Entry 3:
This record from Alexandria via LeMat-Bulk describes a relaxed structure of Ac6Ni2PdRh. The functional is PBE-GGA.

Unit cell a=7.4513 b=7.4519 c=8.0503 alpha=90.07 beta=117.53 gamma=119.91
Closest atoms and distances in Å follow each position.
Space group P1 (No. 1)
One atom of each set of equivalent atoms:
Ac (0.0000, 0.0000, 0.0000) x1  2 Ni 3.00-3.08, 1 Pd 3.05, 1 Rh 3.06
Ac (0.0038, 0.2004, 0.5095) x1  1 Rh 2.97, 2 Ni 2.98-3.08, 1 Pd 3.16
Ac (0.3583, 0.8681, 0.5092) x1  1 Rh 2.96, 2 Ni 2.98-3.08, 1 Pd 3.17
Ac (0.3619, 0.7101, 0.0008) x1  2 Ni 3.00-3.08, 1 Pd 3.05, 1 Rh 3.06
Ac (0.6523, 0.3612, 0.0002) x1  2 Ni 3.00-3.08, 1 Pd 3.05, 1 Rh 3.06
Ac (0.6714, 0.5136, 0.5093) x1  1 Rh 2.96, 2 Ni 2.98-3.08, 1 Pd 3.17
Ni (0.8625, 0.7859, 0.2865) x1  6 Ac 2.98-3.08, 1 Rh 3.01
Ni (0.8666, 0.2883, 0.7923) x1  1 Pd 2.93, 6 Ac 3.00-3.08
Pd (0.1529, 0.4312, 0.2223) x1  1 Ni 2.93, 6 Ac 3.05-3.17
Rh (0.1570, 0.9332, 0.7285) x1  6 Ac 2.96-3.06, 1 Ni 3.01

Summary:
As for the energy: -5.27 eV per atom. The value obtained for the calculated formation energy is -390 meV/atom.

***

Entry 4:
This record from Alexandria via LeMat-Bulk describes a relaxed structure of Ac6Ni2PdRu. The functional is PBE-GGA.

Unit cell a=7.4339 b=7.4345 c=8.0741 alpha=90.05 beta=117.38 gamma=119.93
Closest atoms and distances in Å follow each position.
Space group P1 (No. 1)
One atom of each set of equivalent atoms:
Ac (0.0000, 0.0000, 0.0000) x1  1 Ru 2.92, 2 Ni 2.96-3.07, 1 Pd 3.17
Ac (0.0031, 0.8357, 0.4867) x1  2 Ni 2.98-3.07, 1 Ru 3.03, 1 Pd 3.05
Ac (0.3036, 0.4894, 0.4868) x1  2 Ni 2.98-3.07, 1 Ru 3.03, 1 Pd 3.05
Ac (0.3314, 0.6546, 0.0000) x1  1 Ru 2.92, 2 Ni 2.96-3.07, 1 Pd 3.17
Ac (0.6491, 0.1360, 0.4862) x1  2 Ni 2.98-3.07, 1 Ru 3.03, 1 Pd 3.05
Ac (0.6545, 0.3230, 0.0002) x1  1 Ru 2.92, 2 Ni 2.96-3.07, 1 Pd 3.16
Ni (0.5053, 0.9138, 0.7653) x1  6 Ac 2.96-3.07, 1 Ru 3.13
Ni (0.5100, 0.4167, 0.2730) x1  6 Ac 2.98-3.07, 1 Pd 3.06
Pd (0.8079, 0.5650, 0.7199) x1  6 Ac 3.05-3.17, 1 Ni 3.06
Ru (0.8103, 0.0664, 0.2233) x1  6 Ac 2.92-3.03, 1 Ni 3.13

Summary:
As for the energy: -5.36 eV per atom. The value obtained for the calculated formation energy is -292 meV/atom.

***

Question: Number 3 is which compound?
Answer: Ac6Ni2PdRh

***

Question: Which of these has the highest energy?
Answer: Ac6Ni2PdRh

***

Question: Which formula does entry 3 have?
Answer: Ac6Ni2PdRh

***

Question: Among the records above, which one has the highest calculated formation energy?
Answer: Ac6Ni2PdRu